A | Ti3NbAu: relaxed, GGA-PBE.

```
data_Ti3NbAu
_cell_length_a 4.819
_cell_length_b 4.819
_cell_length_c 4.819
_cell_angle_alpha 90.00
_cell_angle_beta 90.00
_cell_angle_gamma 90.00
_symmetry_space_group_name_H-M 'P m -3 m'
_symmetry_Int_Tables_number 221
_symmetry_space_group_name_Hall '-P 4 2 3'
loop_
_atom_site_label
_atom_site_fract_x
_atom_site_fract_y
_atom_site_fract_z
Ti1 0.000 0.000 0.500
Nb1 0.500 0.500 0.500
Au1 0.000 0.000 0.000
```

---

B | Ti3NbAu: relaxed, GGA-PBE.

```
data_Ti3NbAu
_cell_length_a 4.731
_cell_length_b 4.731
_cell_length_c 4.731
_cell_angle_alpha 90.00
_cell_angle_beta 90.00
_cell_angle_gamma 90.00
_symmetry_space_group_name_H-M 'P m -3 m'
_symmetry_Int_Tables_number 221
_symmetry_space_group_name_Hall '-P 4 2 3'
loop_
_atom_site_label
_atom_site_fract_x
_atom_site_fract_y
_atom_site_fract_z
Ti1 0.000 0.000 0.500
Nb1 0.000 0.000 0.000
Au1 0.500 0.500 0.500
```

---

Relative energies with respect to the most stable structure, expressed in eV/atom: A 0.108; B 0.000.

---

A | NbTl2Au: relaxed, GGA-PBE.

```
data_NbTl2Au
_cell_length_a 7.777
_cell_length_b 7.777
_cell_length_c 6.103
_cell_angle_alpha 90.00
_cell_angle_beta 90.00
_cell_angle_gamma 90.00
_symmetry_space_group_name_H-M 'I -4 2 d'
_symmetry_Int_Tables_number 122
_symmetry_space_group_name_Hall 'I -4 2bw'
loop_
_atom_site_label
_atom_site_fract_x
_atom_site_fract_y
_atom_site_fract_z
Nb1 0.000 0.000 0.000
Tl1 0.239 0.250 0.625
Au1 0.000 0.000 0.500
```

---

B | NbTl2Au: relaxed, GGA-PBE.

```
data_NbTl2Au
_cell_length_a 7.040
_cell_length_b 7.040
_cell_length_c 7.040
_cell_angle_alpha 90.00
_cell_angle_beta 90.00
_cell_angle_gamma 90.00
_symmetry_space_group_name_H-M 'F m -3 m'
_symmetry_Int_Tables_number 225
_symmetry_space_group_name_Hall '-F 4 2 3'
loop_
_atom_site_label
_atom_site_fract_x
_atom_site_fract_y
_atom_site_fract_z
Nb1 0.000 0.000 0.000
Tl1 0.250 0.250 0.250
Au1 0.000 0.000 0.500
```

---

Relative energies with respect to the most stable structure, expressed in eV/atom: A 0.000; B 0.015.

---

A | Nb3TlAu: relaxed, GGA-PBE.

```
data_Nb3TlAu
_cell_length_a 5.077
_cell_length_b 5.077
_cell_length_c 5.077
_cell_angle_alpha 90.00
_cell_angle_beta 90.00
_cell_angle_gamma 90.00
_symmetry_space_group_name_H-M 'P m -3 m'
_symmetry_Int_Tables_number 221
_symmetry_space_group_name_Hall '-P 4 2 3'
loop_
_atom_site_label
_atom_site_fract_x
_atom_site_fract_y
_atom_site_fract_z
Nb1 0.000 0.000 0.500
Tl1 0.000 0.000 0.000
Au1 0.500 0.500 0.500
```

---

B | Nb3TlAu: relaxed, GGA-PBE.

```
data_Nb3TlAu
_cell_length_a 4.993
_cell_length_b 4.993
_cell_length_c 4.993
_cell_angle_alpha 90.00
_cell_angle_beta 90.00
_cell_angle_gamma 90.00
_symmetry_space_group_name_H-M 'P m -3 m'
_symmetry_Int_Tables_number 221
_symmetry_space_group_name_Hall '-P 4 2 3'
loop_
_atom_site_label
_atom_site_fract_x
_atom_site_fract_y
_atom_site_fract_z
Nb1 0.000 0.000 0.500
Tl1 0.500 0.500 0.500
Au1 0.000 0.000 0.000
```

---

Relative energies with respect to the most stable structure, expressed in eV/atom: A 0.684; B 0.000.

---

A | NbVAu: relaxed, GGA-PBE.

```
data_NbVAu
_cell_length_a 10.393
_cell_length_b 3.294
_cell_length_c 6.108
_cell_angle_alpha 90.00
_cell_angle_beta 106.32
_cell_angle_gamma 90.00
_symmetry_space_group_name_H-M 'C 1 2/m 1'
_symmetry_Int_Tables_number 12
loop_
_symmetry_equiv_pos_as_xyz
'x,y,z'
'-x,-y,-z'
'-x,y,-z'
'x,-y,z'
'x+1/2,y+1/2,z'
'-x+1/2,-y+1/2,-z'
'-x+1/2,y+1/2,-z'
'x+1/2,-y+1/2,z'
loop_
_atom_site_label
_atom_site_fract_x
_atom_site_fract_y
_atom_site_fract_z
Nb1 0.155 0.000 0.086
V1 0.007 0.500 0.772
Au1 0.157 0.000 0.579
```

---

B | NbVAu: relaxed, GGA-PBE.

```
data_NbVAu
_cell_length_a 4.487
_cell_length_b 3.405
_cell_length_c 13.051
_cell_angle_alpha 90.00
_cell_angle_beta 90.15
_cell_angle_gamma 90.00
_symmetry_space_group_name_H-M 'C 1 2/m 1'
_symmetry_Int_Tables_number 12
loop_
_symmetry_equiv_pos_as_xyz
'x,y,z'
'-x,-y,-z'
'-x,y,-z'
'x,-y,z'
'x+1/2,y+1/2,z'
'-x+1/2,-y+1/2,-z'
'-x+1/2,y+1/2,-z'
'x+1/2,-y+1/2,z'
loop_
_atom_site_label
_atom_site_fract_x
_atom_site_fract_y
_atom_site_fract_z
Nb1 0.248 0.000 0.271
V1 0.249 0.500 0.429
Au1 0.249 0.500 0.094
```

---

Relative energies with respect to the most stable structure, expressed in eV/atom: A 0.010; B 0.000.

---

A | NbVAu: relaxed, GGA-PBE.

```
data_NbVAu
_cell_length_a 4.5091
_cell_length_b 4.5091
_cell_length_c 18.1239
_cell_angle_alpha 90.00
_cell_angle_beta 90.00
_cell_angle_gamma 120.00
_symmetry_space_group_name_H-M 'R -3 m'
_symmetry_Int_Tables_number 166
_symmetry_space_group_name_Hall '-R 3 2"'
loop_
_atom_site_label
_atom_site_fract_x
_atom_site_fract_y
_atom_site_fract_z
Nb1 0.0000 0.0000 0.2034
V1 0.0000 0.0000 0.0697
Au1 0.0000 0.0000 0.3681
```

---

B | NbVAu: relaxed, GGA-PBE.

```
data_NbVAu
_cell_length_a 9.733
_cell_length_b 3.319
_cell_length_c 6.493
_cell_angle_alpha 90.00
_cell_angle_beta 107.46
_cell_angle_gamma 90.00
_symmetry_space_group_name_H-M 'C 1 2/m 1'
_symmetry_Int_Tables_number 12
loop_
_symmetry_equiv_pos_as_xyz
'x,y,z'
'-x,-y,-z'
'-x,y,-z'
'x,-y,z'
'x+1/2,y+1/2,z'
'-x+1/2,-y+1/2,-z'
'-x+1/2,y+1/2,-z'
'x+1/2,-y+1/2,z'
loop_
_atom_site_label
_atom_site_fract_x
_atom_site_fract_y
_atom_site_fract_z
Nb1 0.015 0.000 0.232
V1 0.162 0.500 0.058
Au1 0.171 0.500 0.610
```

---

Relative energies with respect to the most stable structure, expressed in eV/atom: A 0.309; B 0.000.

---

A | NbVAu: relaxed, GGA-PBE.

```
data_NbVAu
_cell_length_a 3.490
_cell_length_b 4.284
_cell_length_c 13.270
_cell_angle_alpha 90.00
_cell_angle_beta 90.00
_cell_angle_gamma 90.00
_symmetry_space_group_name_H-M 'F m m 2'
_symmetry_Int_Tables_number 42
_symmetry_space_group_name_Hall 'F 2 -2'
loop_
_atom_site_label
_atom_site_fract_x
_atom_site_fract_y
_atom_site_fract_z
Nb1 0.000 0.000 0.000
V1 0.000 0.000 0.341
Au1 0.000 0.000 0.679
```

---

B | NbVAu: relaxed, GGA-PBE.

```
data_NbVAu
_cell_length_a 9.203
_cell_length_b 4.217
_cell_length_c 5.664
_cell_angle_alpha 90.00
_cell_angle_beta 116.56
_cell_angle_gamma 90.00
_symmetry_space_group_name_H-M 'C 1 m 1'
_symmetry_Int_Tables_number 8
loop_
_symmetry_equiv_pos_as_xyz
'x,y,z'
'x,-y,z'
'x+1/2,y+1/2,z'
'x+1/2,-y+1/2,z'
loop_
_atom_site_label
_atom_site_fract_x
_atom_site_fract_y
_atom_site_fract_z
Nb1 0.000 0.000 0.000
Nb2 0.198 0.500 0.363
V1 0.186 0.500 0.846
V2 0.382 0.000 0.692
Au1 0.041 0.000 0.528
Au2 0.347 0.000 0.176
```

---

C | NbVAu: relaxed, GGA-PBE.

```
data_NbVAu
_cell_length_a 2.799
_cell_length_b 5.456
_cell_length_c 6.911
_cell_angle_alpha 96.53
_cell_angle_beta 100.93
_cell_angle_gamma 103.47
_symmetry_space_group_name_H-M 'P -1'
_symmetry_Int_Tables_number 2
loop_
_symmetry_equiv_pos_as_xyz
'x,y,z'
'-x,-y,-z'
loop_
_atom_site_label
_atom_site_fract_x
_atom_site_fract_y
_atom_site_fract_z
Nb1 0.182 0.095 0.332
V1 0.140 0.585 0.354
Au1 0.437 0.741 0.016
```

---

D | NbVAu: relaxed, GGA-PBE.

```
data_NbVAu
_cell_length_a 3.319
_cell_length_b 3.319
_cell_length_c 9.204
_cell_angle_alpha 90.00
_cell_angle_beta 90.00
_cell_angle_gamma 90.00
_symmetry_space_group_name_H-M 'I 4 m m'
_symmetry_Int_Tables_number 107
_symmetry_space_group_name_Hall 'I 4 -2'
loop_
_atom_site_label
_atom_site_fract_x
_atom_site_fract_y
_atom_site_fract_z
Nb1 0.000 0.000 0.000
V1 0.000 0.000 0.646
Au1 0.000 0.000 0.318
```

---

Relative energies with respect to the most stable structure, expressed in eV/atom: A 0.014; B 0.008; C 0.000; D 0.121.